1.
First-principles (GGA-PBE) data for a relaxed structure of MgAl2Tc, as listed in Alexandria via LeMat-Bulk.

## Properties
size of the total moment = 0.866 μB/f.u.
E_tot = -5.0506 eV per atom
space-group type = I-4m2

a b c (Å): 5.0500 5.0500 5.0500
angles (deg): 135.41 135.41 64.89
Atoms (fractional coordinates):
Mg (0.5000, 0.5000, 0.0000)
Tc (0.7500, 0.2500, 0.5000)
Al (0.2500, 0.7500, 0.5000)
Al (0.0000, 0.0000, 0.0000)

=====

2.
First-principles (GGA-PBE) data for a relaxed structure of MgAl2Tc, as listed in Alexandria via LeMat-Bulk.

## Properties
size of the total moment = 0.759 μB/f.u.
E_tot = -5.0955 eV per atom
space-group type = I4/mmm

a b c (Å): 4.9024 4.9024 4.9024
angles (deg): 132.92 132.92 68.77
Atoms (fractional coordinates):
Al (0.5000, 0.5000, 0.0000)
Al (0.0000, 0.0000, 0.0000)
Mg (0.2500, 0.7500, 0.5000)
Tc (0.7500, 0.2500, 0.5000)

=====

3.
First-principles (GGA-PBE) data for a relaxed structure of MgAlTc, as listed in Alexandria via LeMat-Bulk.

## Properties
size of the total moment = 0.277 μB/f.u.
offset from the most stable computed form = 23 meV per atom
space-group type = I4mm

a b c (Å): 5.1892 5.1892 5.1892
angles (deg): 143.62 143.62 52.39
Atoms (fractional coordinates):
Al (0.0251, 0.0251, 0.0000)
Mg (0.3254, 0.3254, 0.0000)
Tc (0.6495, 0.6495, 0.0000)

=====

4.
First-principles (GGA-PBE) data for a relaxed structure of MgAl2Tc, as listed in Alexandria via LeMat-Bulk.

## Properties
size of the total moment = 0.000 μB/f.u.
E_tot = -4.9851 eV per atom
space-group type = Pmm2

a b c (Å): 4.6470 2.7720 4.8693
angles (deg): 89.99 90.00 90.00
Atoms (fractional coordinates):
Al (0.0000, 0.1251, 0.9586)
Al (0.5000, 0.1252, 0.2860)
Mg (0.0000, 0.6245, 0.4661)
Tc (0.5000, 0.6252, 0.7892)

=====

5.
First-principles (GGA-PBE) data for a relaxed structure of MgAl2Tc, as listed in Alexandria via LeMat-Bulk.

## Properties
size of the total moment = 0.341 μB/f.u.
E_tot = -4.8095 eV per atom
space-group type = P4mm

a b c (Å): 2.8020 2.8020 8.3946
angles (deg): 90.00 90.00 90.00
Atoms (fractional coordinates):
Al (0.0000, 0.0000, 0.9845)
Al (0.5000, 0.5000, 0.2347)
Tc (0.5000, 0.5000, 0.7659)
Mg (0.0000, 0.0000, 0.5149)

=====

6.
First-principles (GGA-PBE) data for a relaxed structure of MgAl2Tc, as listed in Alexandria via LeMat-Bulk.

## Properties
size of the total moment = 0.000 μB/f.u.
E_tot = -4.9137 eV per atom
space-group type = R-3m

a b c (Å): 9.0621 9.0621 9.0621
angles (deg): 18.85 18.85 18.85
Atoms (fractional coordinates):
Al (0.4903, 0.4903, 0.4903)
Al (0.0097, 0.0097, 0.0097)
Tc (0.7500, 0.7500, 0.7500)
Mg (0.2500, 0.2500, 0.2500)

=====

7.
First-principles (GGA-PBE) data for a relaxed structure of MgAlTc2, as listed in Alexandria via LeMat-Bulk.

## Properties
size of the total moment = 0.000 μB/f.u.
offset from the most stable computed form = 675 meV per atom
space-group type = I-42d

a b c (Å): 7.0556 7.0556 5.6391
angles (deg): 51.27 51.27 90.00
Atoms (fractional coordinates):
Al (0.7500, 0.2500, 0.5000)
Al (0.0000, 0.0000, 0.0000)
Mg (0.2500, 0.7500, 0.5000)
Mg (0.5000, 0.5000, 0.0000)
Tc (0.8750, 0.8987, 0.7500)
Tc (0.3750, 0.3513, 0.7500)
Tc (0.6487, 0.1250, 0.2500)
Tc (0.1013, 0.6250, 0.2500)

=====

8.
First-principles (GGA-PBE) data for a relaxed structure of MgAl4Tc, as listed in Alexandria via LeMat-Bulk.

## Properties
size of the total moment = 0.001 μB/f.u.
E_tot = -4.5429 eV per atom
space-group type = F-43m

a b c (Å): 5.1192 5.1192 5.1192
angles (deg): 60.00 60.00 60.00
Atoms (fractional coordinates):
Al (0.3743, 0.8772, 0.3743)
Al (0.8772, 0.3743, 0.3743)
Al (0.3743, 0.3743, 0.8772)
Al (0.3743, 0.3743, 0.3743)
Tc (0.0000, 0.0000, 0.0000)
Mg (0.7500, 0.7500, 0.7500)